[1]
# RbTaV2 | Alexandria via LeMat-Bulk | PBE | optimized geometry
# **Space-group type**: Fm-3m (225)
# **Energy above the lowest structure with this stoichiometry**: 0.000 eV/atom
# **Calculated density**: 7.8 Mg/m³
data_RbTaV2
_chemical_formula_sum 'Rb1 Ta1 V2'
_symmetry_space_group_name_H-M 'P 1'
_symmetry_Int_Tables_number 1
_cell_length_a 4.811
_cell_length_b 4.811
_cell_length_c 4.811
_cell_angle_alpha 60.00
_cell_angle_beta 60.00
_cell_angle_gamma 60.00
loop_
_symmetry_equiv_pos_as_xyz
'x,y,z'
loop_
_atom_site_label
_atom_site_type_symbol
_atom_site_fract_x
_atom_site_fract_y
_atom_site_fract_z
V1 V 0.250 0.250 0.250
V2 V 0.750 0.750 0.750
Ta1 Ta 0.500 0.500 0.500
Rb1 Rb 0.000 0.000 0.000



[2]
# Rb2TaV | Alexandria via LeMat-Bulk | PBE | optimized geometry
# **Space-group type**: Fm-3m (225)
# **Energy above the lowest structure with this stoichiometry**: 0.606 eV/atom
# **Calculated density**: 4.2 Mg/m³
data_Rb2TaV
_chemical_formula_sum 'Rb2 Ta1 V1'
_symmetry_space_group_name_H-M 'P 1'
_symmetry_Int_Tables_number 1
_cell_length_a 6.078
_cell_length_b 6.078
_cell_length_c 6.078
_cell_angle_alpha 60.00
_cell_angle_beta 60.00
_cell_angle_gamma 60.00
loop_
_symmetry_equiv_pos_as_xyz
'x,y,z'
loop_
_atom_site_label
_atom_site_type_symbol
_atom_site_fract_x
_atom_site_fract_y
_atom_site_fract_z
Rb1 Rb 0.250 0.250 0.250
V1 V 0.000 0.000 0.000
Ta1 Ta 0.500 0.500 0.500
Rb2 Rb 0.750 0.750 0.750



[3]
# RbTaV2 | Alexandria via LeMat-Bulk | PBE | optimized geometry
# **Space-group type**: I4_1/amd (141)
# **Energy above the lowest structure with this stoichiometry**: 0.233 eV/atom
# **Calculated density**: 5.1 Mg/m³
data_RbTaV2
_chemical_formula_sum 'Rb2 Ta2 V4'
_symmetry_space_group_name_H-M 'P 1'
_symmetry_Int_Tables_number 1
_cell_length_a 5.308
_cell_length_b 5.308
_cell_length_c 9.308
_cell_angle_alpha 73.43
_cell_angle_beta 73.43
_cell_angle_gamma 90.00
loop_
_symmetry_equiv_pos_as_xyz
'x,y,z'
loop_
_atom_site_label
_atom_site_type_symbol
_atom_site_fract_x
_atom_site_fract_y
_atom_site_fract_z
Ta1 Ta 0.000 0.000 0.000
V1 V 0.375 0.124 0.750
Rb1 Rb 0.500 0.500 0.000
V2 V 0.876 0.125 0.250
V3 V 0.874 0.625 0.250
Ta2 Ta 0.750 0.250 0.500
V4 V 0.875 0.126 0.750
Rb2 Rb 0.250 0.750 0.500



[4]
# Rb2TaV | Alexandria via LeMat-Bulk | PBE | optimized geometry
# **Space-group type**: I-42d (122)
# **Energy above the lowest structure with this stoichiometry**: 0.000 eV/atom
# **Calculated density**: 3.2 Mg/m³
data_Rb2TaV
_chemical_formula_sum 'Rb4 Ta2 V2'
_symmetry_space_group_name_H-M 'P 1'
_symmetry_Int_Tables_number 1
_cell_length_a 13.656
_cell_length_b 13.656
_cell_length_c 9.918
_cell_angle_alpha 46.49
_cell_angle_beta 46.49
_cell_angle_gamma 90.00
loop_
_symmetry_equiv_pos_as_xyz
'x,y,z'
loop_
_atom_site_label
_atom_site_type_symbol
_atom_site_fract_x
_atom_site_fract_y
_atom_site_fract_z
Ta1 Ta 0.750 0.250 0.500
Rb1 Rb 0.451 0.125 0.250
Rb2 Rb 0.299 0.625 0.250
V1 V 0.500 0.500 0.000
V2 V 0.250 0.750 0.500
Rb3 Rb 0.375 0.549 0.750
Rb4 Rb 0.875 0.701 0.750
Ta2 Ta 0.000 0.000 0.000



[5]
# Rb3TaV | Alexandria via LeMat-Bulk | PBE | optimized geometry
# **Space-group type**: Pm-3m (221)
# **Energy above the lowest structure with this stoichiometry**: 0.000 eV/atom
# **Calculated density**: 2.4 Mg/m³
data_Rb3TaV
_chemical_formula_sum 'Rb3 Ta1 V1'
_symmetry_space_group_name_H-M 'P 1'
_symmetry_Int_Tables_number 1
_cell_length_a 6.934
_cell_length_b 6.934
_cell_length_c 6.934
_cell_angle_alpha 90.00
_cell_angle_beta 90.00
_cell_angle_gamma 90.00
loop_
_symmetry_equiv_pos_as_xyz
'x,y,z'
loop_
_atom_site_label
_atom_site_type_symbol
_atom_site_fract_x
_atom_site_fract_y
_atom_site_fract_z
Rb1 Rb 0.000 0.500 0.000
Rb2 Rb 0.500 0.000 0.000
V1 V 0.500 0.500 0.500
Ta1 Ta 0.000 0.000 0.000
Rb3 Rb 0.000 0.000 0.500



[6]
# RbTa2V | Alexandria via LeMat-Bulk | PBE | optimized geometry
# **Space-group type**: Fm-3m (225)
# **Energy above the lowest structure with this stoichiometry**: 0.000 eV/atom
# **Calculated density**: 10.4 Mg/m³
data_RbTa2V
_chemical_formula_sum 'Rb1 Ta2 V1'
_symmetry_space_group_name_H-M 'P 1'
_symmetry_Int_Tables_number 1
_cell_length_a 4.826
_cell_length_b 4.826
_cell_length_c 4.826
_cell_angle_alpha 60.00
_cell_angle_beta 60.00
_cell_angle_gamma 60.00
loop_
_symmetry_equiv_pos_as_xyz
'x,y,z'
loop_
_atom_site_label
_atom_site_type_symbol
_atom_site_fract_x
_atom_site_fract_y
_atom_site_fract_z
Rb1 Rb 0.500 0.500 0.500
V1 V 0.000 0.000 0.000
Ta1 Ta 0.250 0.250 0.250
Ta2 Ta 0.750 0.750 0.750



[7]
# RbTa2V4 | Alexandria via LeMat-Bulk | PBE | optimized geometry
# **Space-group type**: I4/mmm (139)
# **E_tot**: -6.563 eV/atom
# **Calculated density**: 8.2 Mg/m³
data_RbTa2V4
_chemical_formula_sum 'Rb1 Ta2 V4'
_symmetry_space_group_name_H-M 'P 1'
_symmetry_Int_Tables_number 1
_cell_length_a 4.511
_cell_length_b 4.511
_cell_length_c 7.250
_cell_angle_alpha 71.87
_cell_angle_beta 71.87
_cell_angle_gamma 90.00
loop_
_symmetry_equiv_pos_as_xyz
'x,y,z'
loop_
_atom_site_label
_atom_site_type_symbol
_atom_site_fract_x
_atom_site_fract_y
_atom_site_fract_z
V1 V 0.500 0.000 0.000
Ta1 Ta 0.624 0.624 0.753
Rb1 Rb 0.000 0.000 0.000
V2 V 0.812 0.812 0.376
Ta2 Ta 0.376 0.376 0.247
V3 V 0.188 0.188 0.624
V4 V 0.000 0.500 0.000



[8]
# RbTa2V | Alexandria via LeMat-Bulk | PBE | optimized geometry
# **Space-group type**: I4_1/amd (141)
# **Energy above the lowest structure with this stoichiometry**: 0.180 eV/atom
# **Calculated density**: 6.6 Mg/m³
data_RbTa2V
_chemical_formula_sum 'Rb2 Ta4 V2'
_symmetry_space_group_name_H-M 'P 1'
_symmetry_Int_Tables_number 1
_cell_length_a 5.561
_cell_length_b 5.561
_cell_length_c 9.044
_cell_angle_alpha 72.09
_cell_angle_beta 72.09
_cell_angle_gamma 90.00
loop_
_symmetry_equiv_pos_as_xyz
'x,y,z'
loop_
_atom_site_label
_atom_site_type_symbol
_atom_site_fract_x
_atom_site_fract_y
_atom_site_fract_z
Rb1 Rb 0.000 0.000 0.000
Ta1 Ta 0.875 0.625 0.750
V1 V 0.250 0.750 0.500
Ta2 Ta 0.375 0.625 0.750
V2 V 0.500 0.500 0.000
Rb2 Rb 0.750 0.250 0.500
Ta3 Ta 0.375 0.625 0.250
Ta4 Ta 0.375 0.125 0.250



[9]
# RbTa3W | Alexandria via LeMat-Bulk | PBE | optimized geometry
# **Space-group type**: Pm-3m (221)
# **Energy above the lowest structure with this stoichiometry**: 1.708 eV/atom
# **Calculated density**: 12.9 Mg/m³
data_RbTa3W
_chemical_formula_sum 'Rb1 Ta3 W1'
_symmetry_space_group_name_H-M 'P 1'
_symmetry_Int_Tables_number 1
_cell_length_a 4.710
_cell_length_b 4.710
_cell_length_c 4.710
_cell_angle_alpha 90.00
_cell_angle_beta 90.00
_cell_angle_gamma 90.00
loop_
_symmetry_equiv_pos_as_xyz
'x,y,z'
loop_
_atom_site_label
_atom_site_type_symbol
_atom_site_fract_x
_atom_site_fract_y
_atom_site_fract_z
Ta1 Ta 0.500 0.000 0.000
Ta2 Ta 0.000 0.000 0.500
W1 W 0.500 0.500 0.500
Ta3 Ta 0.000 0.500 0.000
Rb1 Rb 0.000 0.000 0.000



[10]
# RbTa3W | Alexandria via LeMat-Bulk | PBE | optimized geometry
# **Space-group type**: Pm-3m (221)
# **Energy above the lowest structure with this stoichiometry**: 0.000 eV/atom
# **Calculated density**: 10.4 Mg/m³
data_RbTa3W
_chemical_formula_sum 'Rb1 Ta3 W1'
_symmetry_space_group_name_H-M 'P 1'
_symmetry_Int_Tables_number 1
_cell_length_a 5.055
_cell_length_b 5.055
_cell_length_c 5.055
_cell_angle_alpha 90.00
_cell_angle_beta 90.00
_cell_angle_gamma 90.00
loop_
_symmetry_equiv_pos_as_xyz
'x,y,z'
loop_
_atom_site_label
_atom_site_type_symbol
_atom_site_fract_x
_atom_site_fract_y
_atom_site_fract_z
Ta1 Ta 0.500 0.000 0.000
W1 W 0.000 0.000 0.000
Rb1 Rb 0.500 0.500 0.500
Ta2 Ta 0.000 0.000 0.500
Ta3 Ta 0.000 0.500 0.000



[11]
# Rb3TaW | Alexandria via LeMat-Bulk | PBE | optimized geometry
# **Space-group type**: Pm-3m (221)
# **Energy above the lowest structure with this stoichiometry**: 0.000 eV/atom
# **Calculated density**: 3.2 Mg/m³
data_Rb3TaW
_chemical_formula_sum 'Rb3 Ta1 W1'
_symmetry_space_group_name_H-M 'P 1'
_symmetry_Int_Tables_number 1
_cell_length_a 6.849
_cell_length_b 6.849
_cell_length_c 6.849
_cell_angle_alpha 90.00
_cell_angle_beta 90.00
_cell_angle_gamma 90.00
loop_
_symmetry_equiv_pos_as_xyz
'x,y,z'
loop_
_atom_site_label
_atom_site_type_symbol
_atom_site_fract_x
_atom_site_fract_y
_atom_site_fract_z
Ta1 Ta 0.500 0.500 0.500
Rb1 Rb 0.000 0.000 0.500
W1 W 0.000 0.000 0.000
Rb2 Rb 0.000 0.500 0.000
Rb3 Rb 0.500 0.000 0.000



[12]
# RbYTa2W | Alexandria via LeMat-Bulk | PBE | optimized geometry
# **Space-group type**: P4/mmm (123)
# **E_tot**: -7.501 eV/atom
# **Calculated density**: 8.3 Mg/m³
data_RbYTa2W
_chemical_formula_sum 'Rb1 Y1 Ta2 W1'
_symmetry_space_group_name_H-M 'P 1'
_symmetry_Int_Tables_number 1
_cell_length_a 5.020
_cell_length_b 5.726
_cell_length_c 5.020
_cell_angle_alpha 90.00
_cell_angle_beta 90.00
_cell_angle_gamma 90.00
loop_
_symmetry_equiv_pos_as_xyz
'x,y,z'
loop_
_atom_site_label
_atom_site_type_symbol
_atom_site_fract_x
_atom_site_fract_y
_atom_site_fract_z
W1 W 0.000 0.000 0.000
Ta1 Ta 0.000 0.000 0.500
Y1 Y 0.000 0.500 0.000
Ta2 Ta 0.500 0.000 0.000
Rb1 Rb 0.500 0.500 0.500